(1)
Density functional theory data (PBE) for an optimized crystal structure of Fe2Re.

Cell lengths 4.841, 4.841, 6.073 Å; angles 102.85, 102.85, 31.41 degrees
Sites, in units of the cell vectors:
1 Fe 0.000 0.000 0.000
2 Fe 0.060 0.060 0.612
3 Fe 0.340 0.340 0.671
4 Fe 0.670 0.670 0.344
5 Re 0.396 0.396 0.291
6 Re 0.718 0.718 0.937

Calculated values
Energy of formation from the pure elements   0.097 eV/atom
Total moment   0.00 μB/atom

=====

(2)
Density functional theory data (PBE) for an optimized crystal structure of Ta2InGa.

Cell lengths 4.687, 4.687, 4.687 Å; angles 60.00, 60.00, 60.00 degrees
Sites, in units of the cell vectors:
1 Ta 0.250 0.250 0.250
2 Ta 0.750 0.750 0.750
3 In 0.000 0.000 0.000
4 Ga 0.500 0.500 0.500

Calculated values
Energy of formation from the pure elements   0.369 eV/atom
Total moment   0.00 μB/atom
Energy above the most stable polymorph in this dataset   0 meV per atom

=====

What did the second record say?
Density functional theory data (PBE) for an optimized crystal structure of Ta2InGa.

Cell lengths 4.687, 4.687, 4.687 Å; angles 60.00, 60.00, 60.00 degrees
Sites, in units of the cell vectors:
1 Ta 0.250 0.250 0.250
2 Ta 0.750 0.750 0.750
3 In 0.000 0.000 0.000
4 Ga 0.500 0.500 0.500

Calculated values
Energy of formation from the pure elements   0.369 eV/atom
Total moment   0.00 μB/atom
Energy above the most stable polymorph in this dataset   0 meV per atom